{"formula": "CrHg3Te", "functional": "PBEsol", "state": "relaxed", "space_group": "Pm-3m, No. 221", "m_tot_mub_per_cell": 4.0, "lattice": [[5.175, 0.000, 0.000], [0.000, 5.175, 0.000], [0.000, 0.000, 5.175]], "species": ["Hg", "Hg", "Hg", "Cr", "Te"], "frac_coords": [[0.000, 0.500, 0.000], [0.000, 0.000, 0.500], [0.500, 0.000, 0.000], [0.000, 0.000, 0.000], [0.500, 0.500, 0.500]]}



{"formula": "CrHg2Te", "functional": "PBEsol", "state": "relaxed", "space_group": "Pm, No. 6", "m_tot_mub_per_cell": 3.8, "lattice": [[3.677, 0.000, 0.000], [0.000, 3.847, -0.017], [0.000, -1.897, 6.541]], "species": ["Hg", "Hg", "Cr", "Te"], "frac_coords": [[0.000, 0.194, 0.016], [0.500, 0.802, 0.230], [0.500, 0.029, 0.681], [0.000, 0.475, 0.573]]}



Here are the calculated formation energy without anion corrections numbers, same order: 592, 163 (meV per atom).